Record 1
Here is an optimized crystal structure of NaPd2Pt from Alexandria. Energies are from PBE-GGA.

Results
- DFT total energy (eV per atom) = -4.45
- M_tot (μB per formula unit) = 0.00
- formation energy from the elements (eV per atom) = -0.010
- excess energy over the best structure of this formula in the dataset (eV/f.u.) = 0.326

Structure (CIF):
```
data_NaPd2Pt
_symmetry_space_group_name_H-M 'P 4/m m m'
_symmetry_Int_Tables_number 123
_symmetry_space_group_name_Hall '-P 4 2'
_cell_length_a 2.799
_cell_length_b 2.799
_cell_length_c 8.590
_cell_angle_alpha 90.00
_cell_angle_beta 90.00
_cell_angle_gamma 90.00
loop_
_atom_site_label
_atom_site_fract_x
_atom_site_fract_y
_atom_site_fract_z
Na1 0.000 0.000 0.000
Pd1 0.500 0.500 0.270
Pt1 0.000 0.000 0.500
```

***

Record 2
Here is an optimized crystal structure of Li2AcTlPd4 from Alexandria. Energies are from PBE-GGA.

Results
- DFT total energy (eV per atom) = -4.37
- M_tot (μB per formula unit) = 0.00
- formation energy from the elements (eV per atom) = -0.483

Structure (CIF):
```
data_Li2AcTlPd4
_symmetry_space_group_name_H-M 'R -3 m'
_symmetry_Int_Tables_number 166
_symmetry_space_group_name_Hall '-R 3 2"'
_cell_length_a 4.4275
_cell_length_b 4.4275
_cell_length_c 27.2382
_cell_angle_alpha 90.00
_cell_angle_beta 90.00
_cell_angle_gamma 120.00
loop_
_atom_site_label
_atom_site_fract_x
_atom_site_fract_y
_atom_site_fract_z
Li1 0.0000 0.0000 0.2322
Ac1 0.0000 0.0000 0.0000
Tl1 0.0000 0.0000 0.5000
Pd1 0.0000 0.0000 0.1188
Pd2 0.0000 0.0000 0.3981
```

***

Record 3
Here is an optimized crystal structure of ZnSiIr2 from Alexandria. Energies are from PBE-GGA.

Results
- DFT total energy (eV per atom) = -6.46
- formation energy (no corrections) (eV per atom) = -0.360
- M_tot (μB per formula unit) = 0.00

Structure (CIF):
```
data_ZnSiIr2
_symmetry_space_group_name_H-M 'P 4/m m m'
_symmetry_Int_Tables_number 123
_symmetry_space_group_name_Hall '-P 4 2'
_cell_length_a 4.197
_cell_length_b 4.197
_cell_length_c 3.083
_cell_angle_alpha 90.00
_cell_angle_beta 90.00
_cell_angle_gamma 90.00
loop_
_atom_site_label
_atom_site_fract_x
_atom_site_fract_y
_atom_site_fract_z
Zn1 0.000 0.000 0.000
Si1 0.500 0.500 0.000
Ir1 0.000 0.500 0.500
```

***

> DFT total energy of number 1 (NaPd2Pt)?

-4.45 eV per atom